1.
The following is a DFT calculation (PBE-GGA) of Th2Ge3SbIr4 after structural relaxation.

a = 4.309 Å, b = 4.309 Å, c = 10.466 Å
α = 90.00°, β = 90.00°, γ = 90.00°
Space group P-4m2 (No. 115)
Inequivalent atoms, fractional coordinates:
Th 0.000 0.500 0.238 x2
Ge 0.000 0.500 0.870 x2
Ge 0.500 0.500 0.500 x1
Sb 0.000 0.000 0.500 x1
Ir 0.000 0.000 0.000 x1
Ir 0.000 0.500 0.637 x2
Ir 0.500 0.500 0.000 x1

Values from the calculation:
Crystal system: tetragonal
D(E_F) (states/eV/atom): 0.592
Total DFT energy (no corrections) (eV per cell): -75.71

***

2.
The following is a DFT calculation (PBE-GGA) of TiGeSb2Ir after structural relaxation.

a = 5.104 Å, b = 5.104 Å, c = 4.640 Å
α = 90.00°, β = 90.00°, γ = 90.00°
Space group P4/mmm (No. 123)
Inequivalent atoms, fractional coordinates:
Ti 0.000 0.000 0.000 x1
Ge 0.000 0.000 0.500 x1
Sb 0.000 0.500 0.500 x2
Ir 0.500 0.500 0.000 x1

Values from the calculation:
Crystal system: tetragonal
D(E_F) (states/eV/atom): 1.608
Total DFT energy (no corrections) (eV per cell): -23.96

***

3.
The following is a DFT calculation (PBE-GGA) of Zn2GeSbIr after structural relaxation.

a = 4.464 Å, b = 4.464 Å, c = 5.541 Å
α = 90.00°, β = 90.00°, γ = 90.00°
Space group P4/mmm (No. 123)
Inequivalent atoms, fractional coordinates:
Zn 0.000 0.500 0.000 x2
Ge 0.000 0.000 0.000 x1
Sb 0.000 0.000 0.500 x1
Ir 0.500 0.500 0.500 x1

Values from the calculation:
Crystal system: tetragonal
D(E_F) (states/eV/atom): 0.485
Total DFT energy (no corrections) (eV per cell): -15.34

***

4.
The following is a DFT calculation (PBE-GGA) of ScGe2Ir after structural relaxation.

a = 4.034 Å, b = 4.034 Å, c = 18.255 Å
α = 90.00°, β = 90.00°, γ = 90.00°
Space group I-42d (No. 122)
Inequivalent atoms, fractional coordinates:
Sc 0.000 0.000 0.000 x4
Ge 0.203 0.250 0.625 x8
Ir 0.000 0.000 0.500 x4

Values from the calculation:
Energy of formation (eV/atom): -0.274
Crystal system: tetragonal
D(E_F) (states/eV/atom): 0.589
Total DFT energy (no corrections) (eV per cell): -102.10

***

5.
The following is a DFT calculation (PBE-GGA) of Sc2GeIr after structural relaxation.

a = 7.248 Å, b = 7.248 Å, c = 6.110 Å
α = 90.00°, β = 90.00°, γ = 90.00°
Space group I-42d (No. 122)
Inequivalent atoms, fractional coordinates:
Sc 0.226 0.750 0.125 x8
Ge 0.000 0.000 0.500 x4
Ir 0.000 0.000 0.000 x4

Values from the calculation:
Energy of formation (eV/atom): -0.315
Crystal system: tetragonal
D(E_F) (states/eV/atom): 1.057
Total DFT energy (no corrections) (eV per cell): -109.61

***

6.
The following is a DFT calculation (PBE-GGA) of Sc2GeIr after structural relaxation.

a = 3.5416 Å, b = 3.5416 Å, c = 26.4246 Å
α = 90.00°, β = 90.00°, γ = 120.00°
Space group R-3m (No. 166, hexagonal axes)
Inequivalent atoms, fractional coordinates:
Sc 0.0000 0.0000 0.1053 x6
Ge 0.0000 0.0000 0.0000 x3
Ir 0.0000 0.0000 0.5000 x3

Values from the calculation:
Energy of formation (eV/atom): -0.164
Crystal system: trigonal
D(E_F) (states/eV/atom): 0.983
Total DFT energy (no corrections) (eV per cell): -80.39

***

7.
The following is a DFT calculation (PBE-GGA) of Sc2Ge4Ir after structural relaxation.

a = 4.855 Å, b = 4.855 Å, c = 13.298 Å
α = 90.00°, β = 90.00°, γ = 90.00°
Space group I4/mmm (No. 139)
Inequivalent atoms, fractional coordinates:
Sc 0.000 0.000 0.113 x4
Ge 0.000 0.000 0.312 x4
Ge 0.000 0.500 0.000 x4
Ir 0.000 0.000 0.500 x2

Values from the calculation:
Energy of formation (eV/atom): 0.007
Crystal system: tetragonal
D(E_F) (states/eV/atom): 0.888
Total DFT energy (no corrections) (eV per cell): -79.89

***

8.
The following is a DFT calculation (PBE-GGA) of Sc2GeIr2 after structural relaxation.

a = 7.441 Å, b = 7.441 Å, c = 3.217 Å
α = 90.00°, β = 90.00°, γ = 90.00°
Space group P4/mbm (No. 127)
Inequivalent atoms, fractional coordinates:
Sc 0.162 0.338 0.000 x4
Ge 0.000 0.000 0.500 x2
Ir 0.139 0.639 0.500 x4

Values from the calculation:
Energy of formation (eV/atom): -0.636
Crystal system: tetragonal
D(E_F) (states/eV/atom): 0.609
Total DFT energy (no corrections) (eV per cell): -76.36

***

9.
The following is a DFT calculation (PBE-GGA) of ScGeIr after structural relaxation.

a = 3.071 Å, b = 3.071 Å, c = 10.686 Å
α = 90.00°, β = 90.00°, γ = 90.00°
Space group I4mm (No. 107)
Inequivalent atoms, fractional coordinates:
Sc 0.000 0.000 0.000 x2
Ge 0.000 0.000 0.690 x2
Ir 0.000 0.000 0.329 x2

Values from the calculation:
Energy of formation (eV/atom): -0.610
Crystal system: tetragonal
D(E_F) (states/eV/atom): 0.462
Total DFT energy (no corrections) (eV per cell): -43.28

***

10.
The following is a DFT calculation (PBE-GGA) of Sc2GeIr after structural relaxation.

a = 4.444 Å, b = 4.444 Å, c = 3.592 Å
α = 90.00°, β = 90.00°, γ = 90.00°
Space group P4/mmm (No. 123)
Inequivalent atoms, fractional coordinates:
Sc 0.000 0.500 0.000 x2
Ge 0.000 0.000 0.500 x1
Ir 0.500 0.500 0.500 x1

Values from the calculation:
Energy of formation (eV/atom): -0.814
Crystal system: tetragonal
D(E_F) (states/eV/atom): 0.244
Total DFT energy (no corrections) (eV per cell): -29.40

***

11.
The following is a DFT calculation (PBE-GGA) of ScGeIr after structural relaxation.

a = 4.3556 Å, b = 4.3556 Å, c = 3.0748 Å
α = 90.00°, β = 90.00°, γ = 120.00°
Space group P-6m2 (No. 187)
Inequivalent atoms, fractional coordinates:
Sc 0.0000 0.0000 0.0000 x1
Ge 0.3333 0.6667 0.5000 x1
Ir 0.6667 0.3333 0.5000 x1

Values from the calculation:
Energy of formation (eV/atom): -0.842
Crystal system: hexagonal
D(E_F) (states/eV/atom): 0.646
Total DFT energy (no corrections) (eV per cell): -22.34

***

12.
The following is a DFT calculation (PBE-GGA) of Sc3Ge3Ir after structural relaxation.

a = 3.989 Å, b = 9.944 Å, c = 12.931 Å
α = 90.00°, β = 90.00°, γ = 90.00°
Space group Cmcm (No. 63)
Inequivalent atoms, fractional coordinates:
Sc 0.000 0.016 0.250 x4
Sc 0.000 0.297 0.098 x8
Ge 0.000 0.255 0.750 x4
Ge 0.000 0.419 0.600 x8
Ir 0.000 0.000 0.000 x4

Values from the calculation:
Energy of formation (eV/atom): -0.808
Crystal system: orthorhombic
D(E_F) (states/eV/atom): 0.731
Total DFT energy (no corrections) (eV per cell): -189.46

***

Please write out number 4 again, unchanged.
The following is a DFT calculation (PBE-GGA) of ScGe2Ir after structural relaxation.

a = 4.034 Å, b = 4.034 Å, c = 18.255 Å
α = 90.00°, β = 90.00°, γ = 90.00°
Space group I-42d (No. 122)
Inequivalent atoms, fractional coordinates:
Sc 0.000 0.000 0.000 x4
Ge 0.203 0.250 0.625 x8
Ir 0.000 0.000 0.500 x4

Values from the calculation:
Energy of formation (eV/atom): -0.274
Crystal system: tetragonal
D(E_F) (states/eV/atom): 0.589
Total DFT energy (no corrections) (eV per cell): -102.10